Entry 1:
A geometry-optimized LaTa2Cr structure, computed with GGA-PBE.

POSCAR file:
```
LaTa2Cr
1.0
-0.532 -3.928 3.392
-2.240 -4.662 0.679
3.925 -3.746 -1.457
Cr La Ta
1 1 2
Direct
0.470 0.470 0.604 Cr
0.237 0.237 0.257 La
0.024 0.024 0.902 Ta
0.769 0.769 0.737 Ta
```

Symmetry = Cm (8)
Energy of formation from the pure elements = 2.3 eV/f.u.
Total magnetic moment = 0.00 μB per formula unit

---

Entry 2:
A geometry-optimized LaTaCr structure, computed with GGA-PBE.

POSCAR file:
```
LaTaCr
1.0
6.338 -0.019 0.000
4.641 4.316 0.000
-5.489 -2.149 2.328
Cr La Ta
1 1 1
Direct
0.032 0.032 0.000 Cr
0.342 0.342 0.000 La
0.626 0.626 0.000 Ta
```

Symmetry = I4mm (107)
Energy of formation from the pure elements = 1.4 eV/f.u.
Total magnetic moment = 0.59 μB per formula unit

---

Entry 3:
A geometry-optimized LaTa2Cr structure, computed with GGA-PBE.

POSCAR file:
```
LaTa2Cr
1.0
-0.949 -4.721 -1.369
3.136 0.127 -2.613
2.499 -1.352 2.933
Cr La Ta
1 1 2
Direct
0.500 0.500 0.000 Cr
0.500 0.000 0.500 La
0.000 0.000 0.000 Ta
0.000 0.500 0.500 Ta
```

Symmetry = P4/mmm (123)
Energy of formation from the pure elements = 2.9 eV/f.u.
Total magnetic moment = 2.82 μB per formula unit

---

no.,volume (Å³/f.u.)
1,87.9
2,63.9
3,83.5